1.
Entry from Alexandria: LaAsRuSe2 after structural relaxation (GGA-PBE).

Lattice parameters (Å, degrees): 5.145 5.145 4.523 90.00 90.00 90.00
Sites, in units of the cell vectors:
Ru (0.000, 0.000, 0.000)
As (0.000, 0.000, 0.500)
Se (0.000, 0.500, 0.000)
Se (0.500, 0.000, 0.000)
La (0.500, 0.500, 0.500)

Properties
- ΔE to the lowest computed polymorph (eV per atom) = 0.000
- symmetry = No. 123
- V (Å³ per cell) = 120
- formation energy (no corrections) (meV/atom) = -585
- DOS at the Fermi energy (states/eV per cell) = 3.06

---

2.
Entry from Alexandria: LaTeAs2Ru after structural relaxation (GGA-PBE).

Lattice parameters (Å, degrees): 5.602 6.067 5.602 90.00 90.00 90.00
Sites, in units of the cell vectors:
Ru (0.500, 0.500, 0.500)
As (0.000, 0.000, 0.500)
As (0.500, 0.000, 0.000)
Te (0.000, 0.500, 0.000)
La (0.000, 0.000, 0.000)

Properties
- symmetry = No. 123
- V (Å³ per cell) = 190
- formation energy (no corrections) (meV/atom) = 1232
- DOS at the Fermi energy (states/eV per cell) = 7.49

---

3.
Entry from Alexandria: La2TlAsRu after structural relaxation (GGA-PBE).

Lattice parameters (Å, degrees): 5.929 4.928 5.929 90.00 90.00 90.00
Sites, in units of the cell vectors:
Ru (0.000, 0.500, 0.000)
Tl (0.000, 0.000, 0.000)
As (0.500, 0.500, 0.500)
La (0.000, 0.000, 0.500)
La (0.500, 0.000, 0.000)

Properties
- symmetry = No. 123
- V (Å³ per cell) = 173
- DOS at the Fermi energy (states/eV per cell) = 6.17

---

4.
Entry from Alexandria: LaVAsRu2 after structural relaxation (GGA-PBE).

Lattice parameters (Å, degrees): 4.570 4.816 4.570 90.00 90.00 90.00
Sites, in units of the cell vectors:
Ru (0.000, 0.000, 0.500)
Ru (0.500, 0.000, 0.000)
As (0.000, 0.500, 0.000)
V (0.000, 0.000, 0.000)
La (0.500, 0.500, 0.500)

Properties
- ΔE to the lowest computed polymorph (eV per atom) = 0.000
- symmetry = No. 123
- V (Å³ per cell) = 101
- DOS at the Fermi energy (states/eV per cell) = 7.80

---

5.
Entry from Alexandria: LaVAsRu2 after structural relaxation (GGA-PBE).

Lattice parameters (Å, degrees): 4.454 5.519 4.454 90.00 90.00 90.00
Sites, in units of the cell vectors:
Ru (0.000, 0.000, 0.500)
Ru (0.500, 0.000, 0.000)
As (0.500, 0.500, 0.500)
V (0.000, 0.000, 0.000)
La (0.000, 0.500, 0.000)

Properties
- ΔE to the lowest computed polymorph (eV per atom) = 0.480
- symmetry = No. 123
- V (Å³ per cell) = 109
- DOS at the Fermi energy (states/eV per cell) = 5.53

---

6.
Entry from Alexandria: LaAsS3 after structural relaxation (GGA-PBE).

Lattice parameters (Å, degrees): 7.543 5.706 12.932 90.00 104.67 90.00
Sites, in units of the cell vectors:
La (0.989, 0.583, 0.173)
La (0.511, 0.083, 0.327)
La (0.011, 0.417, 0.827)
La (0.489, 0.917, 0.673)
As (0.471, 0.537, 0.144)
As (0.029, 0.037, 0.356)
As (0.529, 0.463, 0.856)
As (0.971, 0.963, 0.644)
S (0.150, 0.642, 0.655)
S (0.350, 0.142, 0.845)
S (0.850, 0.358, 0.345)
S (0.650, 0.858, 0.155)
S (0.880, 0.920, 0.802)
S (0.620, 0.420, 0.698)
S (0.120, 0.080, 0.198)
S (0.380, 0.580, 0.302)
S (0.713, 0.848, 0.522)
S (0.787, 0.348, 0.978)
S (0.287, 0.152, 0.478)
S (0.213, 0.652, 0.022)

Properties
- ΔE to the lowest computed polymorph (eV per atom) = 0.005
- symmetry = No. 14
- V (Å³ per cell) = 538
- formation energy (no corrections) (meV/atom) = -1145
- DOS at the Fermi energy (states/eV per cell) = 0.00

---

7.
Entry from Alexandria: LaAs2S2 after structural relaxation (GGA-PBE).

Lattice parameters (Å, degrees): 7.717 7.717 4.126 90.00 90.00 90.00
Sites, in units of the cell vectors:
As (0.376, 0.876, 0.000)
As (0.876, 0.624, 0.000)
As (0.624, 0.124, 0.000)
As (0.124, 0.376, 0.000)
S (0.259, 0.759, 0.500)
S (0.759, 0.741, 0.500)
S (0.741, 0.241, 0.500)
S (0.241, 0.259, 0.500)
La (0.000, 0.000, 0.000)
La (0.500, 0.500, 0.000)

Properties
- symmetry = No. 127
- V (Å³ per cell) = 246
- formation energy (no corrections) (meV/atom) = -590
- DOS at the Fermi energy (states/eV per cell) = 1.64

---

8.
Entry from Alexandria: La6As2S3 after structural relaxation (GGA-PBE).

Lattice parameters (Å, degrees): 7.142 7.166 7.166 120.00 90.00 90.00
Sites, in units of the cell vectors:
La (0.751, 0.332, 0.333)
La (0.751, 0.000, 0.668)
La (0.751, 0.667, 0.000)
La (0.249, 0.668, 0.667)
La (0.249, 0.000, 0.332)
La (0.249, 0.333, 0.000)
As (0.500, 0.333, 0.667)
As (0.500, 0.667, 0.333)
S (0.000, 0.667, 0.333)
S (0.000, 0.333, 0.667)
S (0.500, 0.000, 0.000)

Properties
- symmetry = No. 162
- V (Å³ per cell) = 318
- formation energy (no corrections) (meV/atom) = -1667
- DOS at the Fermi energy (states/eV per cell) = 8.57

---

9.
Entry from Alexandria: La6AsS5 after structural relaxation (GGA-PBE).

Lattice parameters (Å, degrees): 7.271 7.264 7.266 60.01 80.42 70.56
Sites, in units of the cell vectors:
As (0.000, 0.000, 0.000)
S (0.500, 0.165, 0.671)
S (0.000, 0.333, 0.334)
S (0.500, 0.500, 0.000)
S (0.000, 0.667, 0.666)
S (0.500, 0.835, 0.329)
La (0.747, 0.084, 0.336)
La (0.253, 0.579, 0.336)
La (0.252, 0.253, 0.000)
La (0.748, 0.747, 0.000)
La (0.747, 0.421, 0.664)
La (0.253, 0.916, 0.664)

Properties
- symmetry = No. 12
- V (Å³ per cell) = 313
- formation energy (no corrections) (meV/atom) = -2078
- DOS at the Fermi energy (states/eV per cell) = 6.99

---

10.
Entry from Alexandria: La2AsS after structural relaxation (GGA-PBE).

Lattice parameters (Å, degrees): 6.621 6.621 8.193 66.17 66.17 90.00
Sites, in units of the cell vectors:
As (0.000, 0.000, 0.000)
As (0.750, 0.250, 0.500)
S (0.500, 0.500, 0.000)
S (0.250, 0.750, 0.500)
La (0.616, 0.125, 0.250)
La (0.134, 0.625, 0.250)
La (0.375, 0.384, 0.750)
La (0.875, 0.866, 0.750)

Properties
- ΔE to the lowest computed polymorph (eV per atom) = 0.512
- symmetry = No. 122
- V (Å³ per cell) = 295
- formation energy (no corrections) (meV/atom) = -1382
- DOS at the Fermi energy (states/eV per cell) = 3.71

---

11.
Entry from Alexandria: LaAsS3 after structural relaxation (GGA-PBE).

Lattice parameters (Å, degrees): 5.537 5.537 5.537 90.00 90.00 90.00
Sites, in units of the cell vectors:
As (0.500, 0.500, 0.500)
S (0.000, 0.500, 0.000)
S (0.000, 0.000, 0.500)
S (0.500, 0.000, 0.000)
La (0.000, 0.000, 0.000)

Properties
- ΔE to the lowest computed polymorph (eV per atom) = 1.309
- symmetry = No. 221
- V (Å³ per cell) = 170
- formation energy (no corrections) (meV/atom) = 159
- DOS at the Fermi energy (states/eV per cell) = 5.84

---

12.
Entry from Alexandria: La2AsS after structural relaxation (GGA-PBE).

Lattice parameters (Å, degrees): 4.276 4.276 6.039 90.00 90.00 90.00
Sites, in units of the cell vectors:
La (0.000, 0.000, 0.500)
La (0.500, 0.500, 0.000)
As (0.500, 0.500, 0.500)
S (0.000, 0.000, 0.000)

Properties
- ΔE to the lowest computed polymorph (eV per atom) = 0.000
- symmetry = No. 123
- V (Å³ per cell) = 110
- formation energy (no corrections) (meV/atom) = -1894
- DOS at the Fermi energy (states/eV per cell) = 1.40

---

13.
Entry from Alexandria: La3As5S12 after structural relaxation (GGA-PBE).

Lattice parameters (Å, degrees): 13.705 13.705 13.705 109.47 109.47 109.47
Sites, in units of the cell vectors:
La (0.750, 0.375, 0.125)
La (0.875, 0.750, 0.125)
La (0.375, 0.750, 0.625)
La (0.250, 0.125, 0.375)
La (0.875, 0.125, 0.250)
La (0.375, 0.625, 0.250)
La (0.625, 0.375, 0.750)
La (0.125, 0.875, 0.750)
La (0.750, 0.875, 0.625)
La (0.625, 0.250, 0.375)
La (0.125, 0.250, 0.875)
La (0.250, 0.625, 0.875)
As (0.125, 0.375, 0.250)
As (0.000, 0.500, 0.000)
As (0.000, 0.000, 0.000)
As (0.375, 0.250, 0.125)
As (0.500, 0.000, 0.500)
As (0.500, 0.500, 0.000)
As (0.125, 0.750, 0.375)
As (0.750, 0.125, 0.875)
As (0.750, 0.625, 0.375)
As (0.375, 0.125, 0.750)
As (0.625, 0.875, 0.250)
As (0.500, 0.500, 0.500)
As (0.500, 0.000, 0.000)
As (0.000, 0.000, 0.500)
As (0.250, 0.375, 0.625)
As (0.250, 0.875, 0.125)
As (0.000, 0.500, 0.500)
As (0.875, 0.250, 0.625)
As (0.625, 0.750, 0.875)
As (0.875, 0.625, 0.750)
S (0.709, 0.126, 0.035)
S (0.327, 0.535, 0.410)
S (0.965, 0.374, 0.291)
S (0.535, 0.209, 0.126)
S (0.583, 0.709, 0.673)
S (0.965, 0.590, 0.173)
S (0.327, 0.791, 0.417)
S (0.090, 0.917, 0.126)
S (0.590, 0.965, 0.673)
S (0.709, 0.583, 0.173)
S (0.791, 0.465, 0.374)
S (0.827, 0.910, 0.035)
S (0.126, 0.709, 0.535)
S (0.374, 0.410, 0.083)
S (0.083, 0.910, 0.374)
S (0.417, 0.126, 0.590)
S (0.083, 0.173, 0.209)
S (0.465, 0.673, 0.090)
S (0.827, 0.917, 0.291)
S (0.126, 0.417, 0.090)
S (0.374, 0.965, 0.791)
S (0.590, 0.626, 0.417)
S (0.910, 0.827, 0.535)
S (0.791, 0.327, 0.917)
S (0.410, 0.374, 0.583)
S (0.090, 0.173, 0.465)
S (0.209, 0.673, 0.083)
S (0.173, 0.083, 0.709)
S (0.626, 0.035, 0.209)
S (0.874, 0.583, 0.910)
S (0.535, 0.327, 0.910)
S (0.583, 0.874, 0.410)
S (0.917, 0.827, 0.791)
S (0.917, 0.090, 0.626)
S (0.874, 0.291, 0.465)
S (0.173, 0.090, 0.965)
S (0.626, 0.590, 0.917)
S (0.410, 0.035, 0.327)
S (0.291, 0.417, 0.827)
S (0.209, 0.535, 0.626)
S (0.910, 0.083, 0.874)
S (0.673, 0.209, 0.583)
S (0.465, 0.791, 0.874)
S (0.035, 0.410, 0.827)
S (0.417, 0.291, 0.327)
S (0.035, 0.626, 0.709)
S (0.673, 0.465, 0.590)
S (0.291, 0.874, 0.965)

Properties
- symmetry = No. 230
- V (Å³ per cell) = 1982
- formation energy (no corrections) (meV/atom) = -788

---

14.
Entry from Alexandria: LaAsS after structural relaxation (GGA-PBE).

Lattice parameters (Å, degrees): 3.998 3.998 9.371 102.32 102.32 90.00
Sites, in units of the cell vectors:
La (0.354, 0.354, 0.707)
La (0.646, 0.646, 0.293)
As (0.000, 0.500, 0.000)
As (0.500, 0.000, 0.000)
S (0.186, 0.186, 0.372)
S (0.814, 0.814, 0.628)

Properties
- symmetry = No. 139
- V (Å³ per cell) = 143
- formation energy (no corrections) (meV/atom) = -1628
- DOS at the Fermi energy (states/eV per cell) = 1.83

---

15.
Entry from Alexandria: LaAsS after structural relaxation (GGA-PBE).

Lattice parameters (Å, degrees): 3.948 7.392 9.938 90.00 90.00 90.00
Sites, in units of the cell vectors:
As (0.750, 0.406, 0.541)
As (0.250, 0.094, 0.041)
As (0.750, 0.906, 0.959)
As (0.250, 0.594, 0.459)
S (0.250, 0.097, 0.662)
S (0.750, 0.403, 0.162)
S (0.250, 0.597, 0.838)
S (0.750, 0.903, 0.338)
La (0.250, 0.696, 0.156)
La (0.750, 0.304, 0.844)
La (0.250, 0.196, 0.344)
La (0.750, 0.804, 0.656)

Properties
- symmetry = No. 62
- V (Å³ per cell) = 290
- formation energy (no corrections) (meV/atom) = -1575
- DOS at the Fermi energy (states/eV per cell) = 0.00

---

16.
Entry from Alexandria: La2As2S after structural relaxation (GGA-PBE).

Lattice parameters (Å, degrees): 7.888 7.888 4.328 90.00 90.00 90.00
Sites, in units of the cell vectors:
As (0.109, 0.609, 0.500)
As (0.609, 0.891, 0.500)
As (0.891, 0.391, 0.500)
As (0.391, 0.109, 0.500)
S (0.000, 0.000, 0.000)
S (0.500, 0.500, 0.000)
La (0.314, 0.814, 0.000)
La (0.814, 0.686, 0.000)
La (0.686, 0.186, 0.000)
La (0.186, 0.314, 0.000)

Properties
- symmetry = No. 127
- V (Å³ per cell) = 269
- formation energy (no corrections) (meV/atom) = -1462
- DOS at the Fermi energy (states/eV per cell) = 2.79

---

17.
Entry from Alexandria: La4As3S after structural relaxation (GGA-PBE).

Lattice parameters (Å, degrees): 4.333 7.489 7.489 109.46 90.00 90.00
Sites, in units of the cell vectors:
As (0.000, 0.000, 0.500)
As (0.500, 0.500, 0.500)
As (0.000, 0.500, 0.000)
S (0.500, 0.000, 0.000)
La (0.000, 0.250, 0.250)
La (0.500, 0.751, 0.249)
La (0.000, 0.750, 0.750)
La (0.500, 0.249, 0.751)

Properties
- symmetry = No. 65
- V (Å³ per cell) = 229
- formation energy (no corrections) (meV/atom) = -1751
- DOS at the Fermi energy (states/eV per cell) = 1.97

---

18.
Entry from Alexandria: La3AsS6 after structural relaxation (GGA-PBE).

Lattice parameters (Å, degrees): 7.227 8.837 8.837 102.44 90.00 90.00
Sites, in units of the cell vectors:
La (0.472, 0.914, 0.710)
La (0.972, 0.710, 0.914)
La (0.414, 0.396, 0.604)
La (0.914, 0.604, 0.396)
La (0.972, 0.086, 0.290)
La (0.472, 0.290, 0.086)
As (0.045, 0.184, 0.816)
As (0.545, 0.816, 0.184)
S (0.193, 0.680, 0.643)
S (0.693, 0.643, 0.680)
S (0.189, 0.418, 0.902)
S (0.689, 0.902, 0.418)
S (0.201, 0.031, 0.969)
S (0.617, 0.217, 0.783)
S (0.117, 0.783, 0.217)
S (0.701, 0.969, 0.031)
S (0.189, 0.098, 0.582)
S (0.689, 0.582, 0.098)
S (0.193, 0.357, 0.320)
S (0.693, 0.320, 0.357)

Properties
- symmetry = No. 36
- V (Å³ per cell) = 551
- formation energy (no corrections) (meV/atom) = -1671
- DOS at the Fermi energy (states/eV per cell) = 0.00

---

19.
Entry from Alexandria: La2AsS after structural relaxation (GGA-PBE).

Lattice parameters (Å, degrees): 4.184 4.184 7.775 74.39 74.39 60.00
Sites, in units of the cell vectors:
La (0.081, 0.081, 0.758)
La (0.253, 0.253, 0.240)
As (0.668, 0.668, 0.997)
S (0.498, 0.498, 0.505)

Properties
- ΔE to the lowest computed polymorph (eV per atom) = 0.128
- symmetry = No. 160
- V (Å³ per cell) = 112
- formation energy (no corrections) (meV/atom) = -1765
- DOS at the Fermi energy (states/eV per cell) = 2.84

---

20.
Entry from Alexandria: La2AsS after structural relaxation (GGA-PBE).

Lattice parameters (Å, degrees): 5.177 5.177 5.177 60.00 60.00 60.00
Sites, in units of the cell vectors:
As (0.500, 0.500, 0.500)
S (0.000, 0.000, 0.000)
La (0.250, 0.250, 0.250)
La (0.750, 0.750, 0.750)

Properties
- ΔE to the lowest computed polymorph (eV per atom) = 0.324
- symmetry = No. 225
- V (Å³ per cell) = 98
- formation energy (no corrections) (meV/atom) = -1570
- DOS at the Fermi energy (states/eV per cell) = 2.37

---

Number 1: uncorrected energy -28.75 eV for the cell shown. Number 2: uncorrected energy -20.49 eV for the cell shown. Number 3: uncorrected energy -22.97 eV for the cell shown. Number 4: uncorrected energy -36.59 eV for the cell shown. Number 5: uncorrected energy -34.19 eV for the cell shown. Number 6: uncorrected energy -110.74 eV for the cell shown. Number 7: uncorrected energy -50.86 eV for the cell shown. Number 8: uncorrected energy -69.59 eV for the cell shown. Number 9: uncorrected energy -79.79 eV for the cell shown. Number 10: uncorrected energy -48.32 eV for the cell shown. Number 11: uncorrected energy -21.16 eV for the cell shown. Number 12: uncorrected energy -26.21 eV for the cell shown. Number 13: uncorrected energy -413.27 eV for the cell shown. Number 14: uncorrected energy -37.18 eV for the cell shown. Number 15: uncorrected energy -73.71 eV for the cell shown. Number 16: uncorrected energy -61.18 eV for the cell shown. Number 17: uncorrected energy -51.80 eV for the cell shown. Number 18: uncorrected energy -121.81 eV for the cell shown. Number 19: uncorrected energy -25.69 eV for the cell shown. Number 20: uncorrected energy -24.91 eV for the cell shown.